Compound: Be2AgCl
Source: Alexandria via LeMat-Bulk
Functional: meta-GGA SCAN
Structure: PBEsol geometry

Calculated values
* crystal system: monoclinic
* E above lowest polymorph: 0.000 eV per atom
* E: -11.9473 eV per atom
* uncorrected formation energy: 0.3 eV per formula unit

```
data_Be2AgCl
_chemical_formula_sum 'Be4 Ag2 Cl2'
_cell_length_a 8.3515
_cell_length_b 2.8946
_cell_length_c 6.5753
_cell_angle_alpha 90.00
_cell_angle_beta 127.68
_cell_angle_gamma 90.00
_symmetry_space_group_name_H-M 'C 1 2/m 1'
_symmetry_Int_Tables_number 12
_symmetry_space_group_name_Hall '-C 2y'
loop_
_atom_site_label
_atom_site_fract_x
_atom_site_fract_y
_atom_site_fract_z
_atom_site_occupancy
Be1 0.1455 0.0000 0.3481 1
Ag1 0.0000 0.5000 0.5000 1
Cl1 0.0000 0.5000 0.0000 1
```